*A*
Gd2LuHg | GGA-PBE | optimized geometry

The structure belongs to space group Fm-3m (No. 225); the cell edges are 7.6443, 7.6443 and 7.6443 Å and the angles 90.00°, 90.00° and 90.00°. The distinct sites, in fractional coordinates, are Gd at (0.2500, 0.2500, 0.2500), Lu at (0.0000, 0.0000, 0.0000) and Hg at (0.0000, 0.0000, 0.5000).

Its total moment is 3.7922 μB per atom. The volume is 27.9 A^3/atom.


*B*
Gd2LuHg | GGA-PBE | optimized geometry

The structure belongs to space group P4/mmm (No. 123); the cell edges are 4.7766, 4.7766 and 4.8527 Å and the angles 90.00°, 90.00° and 90.00°. The distinct sites, in fractional coordinates, are Gd at (0.0000, 0.5000, 0.0000), Lu at (0.0000, 0.0000, 0.5000) and Hg at (0.5000, 0.5000, 0.5000).

Its total moment is 3.8625 μB per atom. The volume is 27.7 A^3/atom.


Which of them is the least stable? Correct choice: *A*.


*A*
GdLuHg | GGA-PBE | optimized geometry

The structure belongs to space group P3m1 (No. 156); the cell edges are 5.0998, 5.0998 and 3.7129 Å and the angles 90.00°, 90.00° and 120.00°. The distinct sites, in fractional coordinates, are Gd at (0.0000, 0.0000, 0.0000), Lu at (0.3333, 0.6667, 0.5236) and Hg at (0.6667, 0.3333, 0.4003).

Its total moment is 2.4469 μB per atom. The volume is 27.9 A^3/atom.


*B*
GdLuHg | GGA-PBE | optimized geometry

The structure belongs to space group I4mm (No. 107); the cell edges are 3.5948, 3.5948 and 12.7567 Å and the angles 90.00°, 90.00° and 90.00°. The distinct sites, in fractional coordinates, are Gd at (0.0000, 0.0000, 0.0000), Lu at (0.0000, 0.0000, 0.6924) and Hg at (0.0000, 0.0000, 0.3355).

Its total moment is 2.7657 μB per atom. The volume is 27.5 A^3/atom.


Which of them is the least stable? Correct choice: *A*.


*A*
GdMg2Hg | GGA-PBE | optimized geometry

The structure belongs to space group R-3m (No. 166, hexagonal axes); the cell edges are 3.2810, 3.2810 and 33.6167 Å and the angles 90.00°, 90.00° and 120.00°. The distinct sites, in fractional coordinates, are Gd at (0.0000, 0.0000, 0.0000), Mg at (0.0000, 0.0000, 0.0961) and Hg at (0.0000, 0.0000, 0.5000).

Its total moment is 1.9048 μB per atom. The volume is 26.1 A^3/atom.


*B*
GdMg2Hg | GGA-PBE | optimized geometry

The structure belongs to space group Fm-3m (No. 225); the cell edges are 7.1699, 7.1699 and 7.1699 Å and the angles 90.00°, 90.00° and 90.00°. The distinct sites, in fractional coordinates, are Gd at (0.0000, 0.0000, 0.0000), Mg at (0.2500, 0.2500, 0.2500) and Hg at (0.0000, 0.0000, 0.5000).

Its total moment is 1.7988 μB per atom. The volume is 23.0 A^3/atom.


Which of them is the least stable? Correct choice: *A*.


*A*
Gd2MnHg | GGA-PBE | optimized geometry

The structure belongs to space group P4/mmm (No. 123); the cell edges are 3.5503, 3.5503 and 7.7702 Å and the angles 90.00°, 90.00° and 90.00°. The distinct sites, in fractional coordinates, are Gd at (0.0000, 0.0000, 0.2302), Mn at (0.5000, 0.5000, 0.0000) and Hg at (0.5000, 0.5000, 0.5000).

Its total moment is 2.8540 μB per atom. The volume is 24.5 A^3/atom.


*B*
Gd2MnHg | GGA-PBE | optimized geometry

The structure belongs to space group Fm-3m (No. 225); the cell edges are 7.3485, 7.3485 and 7.3485 Å and the angles 90.00°, 90.00° and 90.00°. The distinct sites, in fractional coordinates, are Gd at (0.2500, 0.2500, 0.2500), Mn at (0.0000, 0.0000, 0.0000) and Hg at (0.0000, 0.0000, 0.5000).

Its total moment is 2.7978 μB per atom. The volume is 24.8 A^3/atom.


Which of them is the least stable? Correct choice: *B*.